[1]
A plane-wave DFT calculation with GGA-PBE was carried out for a relaxed structure of CaGa3CuNi.

Values from the calculation:
- Theoretical density: 5.7 g cm⁻³
- Crystal system: orthorhombic
- E: -44.86 eV for the cell shown
- Energy relative to the elements: -1.47 eV per formula unit
- SG: Cmcm, No. 63
- DOS at the Fermi energy: 5.26 states/eV/cell

a b c (Å): 6.778 6.778 5.760
angles (deg): 90.00 90.00 125.45
Fractional positions:
Ca  0.229  0.771  0.750
Ca  0.771  0.229  0.250
Ga  0.204  0.204  0.000
Ga  0.204  0.204  0.500
Ga  0.347  0.653  0.250
Ga  0.653  0.347  0.750
Ga  0.796  0.796  0.000
Ga  0.796  0.796  0.500
Cu  0.144  0.856  0.250
Cu  0.856  0.144  0.750
Ni  0.458  0.542  0.750
Ni  0.542  0.458  0.250

---

[2]
A plane-wave DFT calculation with GGA-PBE was carried out for a relaxed structure of TiIn5.

Values from the calculation:
- Theoretical density: 6.8 g cm⁻³
- Crystal system: orthorhombic
- E: -21.36 eV for the cell shown
- Energy relative to the elements: 0.22 eV per formula unit
- SG: Cmmm, No. 65
- DOS at the Fermi energy: 3.73 states/eV/cell

a b c (Å): 10.036 10.036 3.141
angles (deg): 90.00 90.00 151.35
Fractional positions:
Ti  0.000  0.000  0.000
In  0.127  0.873  0.500
In  0.299  0.701  0.000
In  0.500  0.500  0.500
In  0.701  0.299  0.000
In  0.873  0.127  0.500

---

[3]
A plane-wave DFT calculation with GGA-PBE was carried out for a relaxed structure of Na3Ga2Ag3.

Values from the calculation:
- Polymorph energy (0 for the lowest one): 0.035 eV per atom
- Theoretical density: 4.8 g cm⁻³
- Crystal system: triclinic
- E: -18.57 eV for the cell shown
- Energy relative to the elements: 0.00 eV per formula unit
- SG: P-1, No. 2
- DOS at the Fermi energy: 2.97 states/eV/cell

a b c (Å): 4.492 5.785 7.495
angles (deg): 97.14 107.27 90.24
Fractional positions:
Na  0.000  0.000  0.000
Na  0.147  0.578  0.292
Na  0.853  0.422  0.708
Ga  0.235  0.124  0.472
Ga  0.765  0.876  0.528
Ag  0.361  0.803  0.722
Ag  0.500  0.500  0.000
Ag  0.639  0.197  0.278

---

[4]
A plane-wave DFT calculation with GGA-PBE was carried out for a relaxed structure of MgIn3Sn2.

Values from the calculation:
- Theoretical density: 6.4 g cm⁻³
- Crystal system: orthorhombic
- E: -17.85 eV for the cell shown
- Energy relative to the elements: -0.03 eV per formula unit
- SG: Cmmm, No. 65
- DOS at the Fermi energy: 2.60 states/eV/cell

a b c (Å): 7.035 7.035 4.971
angles (deg): 90.00 90.00 140.15
Fractional positions:
Mg  0.000  0.000  0.000
In  0.336  0.664  0.000
In  0.500  0.500  0.500
In  0.664  0.336  0.000
Sn  0.164  0.836  0.500
Sn  0.836  0.164  0.500

---

[5]
A plane-wave DFT calculation with GGA-PBE was carried out for a relaxed structure of Pr2ErTmO6.

Values from the calculation:
- Theoretical density: 7.7 g cm⁻³
- Crystal system: trigonal
- E: -82.83 eV for the cell shown
- Formation energy without anion corrections: -3.449 eV per atom
- SG: R3, No. 146
- DOS at the Fermi energy: 0.00 states/eV/cell

a b c (Å): 6.101 6.101 6.101
angles (deg): 58.29 58.29 58.29
Fractional positions:
Pr  0.000  0.000  0.000
Pr  0.500  0.500  0.500
Er  0.223  0.223  0.223
Tm  0.723  0.723  0.723
O  0.086  0.429  0.851
O  0.352  0.927  0.588
O  0.429  0.851  0.086
O  0.588  0.352  0.927
O  0.851  0.086  0.429
O  0.927  0.588  0.352

---

[6]
A plane-wave DFT calculation with GGA-PBE was carried out for a relaxed structure of Ce5Ir2Pt.

Values from the calculation:
- Theoretical density: 11.4 g cm⁻³
- Crystal system: tetragonal
- E: -117.94 eV for the cell shown
- Energy relative to the elements: -5.54 eV per formula unit
- SG: I4/mcm, No. 140
- DOS at the Fermi energy: 35.27 states/eV/cell

a b c (Å): 8.130 8.130 8.130
angles (deg): 121.37 121.37 87.64
Fractional positions:
Ce  0.000  0.000  0.000
Ce  0.010  0.510  0.828
Ce  0.183  0.010  0.500
Ce  0.317  0.817  0.828
Ce  0.490  0.317  0.500
Ce  0.500  0.500  0.000
Ce  0.510  0.683  0.500
Ce  0.683  0.183  0.172
Ce  0.817  0.990  0.500
Ce  0.990  0.490  0.172
Ir  0.133  0.367  0.500
Ir  0.367  0.867  0.233
Ir  0.633  0.133  0.767
Ir  0.867  0.633  0.500
Pt  0.250  0.250  0.000
Pt  0.750  0.750  0.000

---

[7]
A plane-wave DFT calculation with GGA-PBE was carried out for a relaxed structure of Ba2HoReN4.

Values from the calculation:
- Theoretical density: 6.0 g cm⁻³
- Crystal system: orthorhombic
- E: -114.70 eV for the cell shown
- Formation energy without anion corrections: -0.397 eV per atom
- SG: Fddd, No. 70
- DOS at the Fermi energy: 9.60 states/eV/cell

a b c (Å): 12.162 10.946 6.743
angles (deg): 83.24 63.36 33.41
Fractional positions:
Ba  0.058  0.058  0.692
Ba  0.308  0.308  0.942
Ba  0.692  0.692  0.058
Ba  0.942  0.942  0.308
Ho  0.125  0.125  0.125
Ho  0.875  0.875  0.875
Re  0.375  0.375  0.375
Re  0.625  0.625  0.625
N  0.039  0.623  0.528
N  0.309  0.528  0.623
N  0.377  0.961  0.691
N  0.472  0.691  0.961
N  0.528  0.309  0.039
N  0.623  0.039  0.309
N  0.691  0.472  0.377
N  0.961  0.377  0.472

---

[8]
A plane-wave DFT calculation with GGA-PBE was carried out for a relaxed structure of LiCa2AgAu2.

Values from the calculation:
- Theoretical density: 7.1 g cm⁻³
- Crystal system: orthorhombic
- E: -37.68 eV for the cell shown
- Energy relative to the elements: -3.52 eV per formula unit
- SG: Ibam, No. 72
- DOS at the Fermi energy: 4.43 states/eV/cell

a b c (Å): 8.690 8.690 8.690
angles (deg): 139.61 58.70 139.28
Fractional positions:
Li  0.250  0.250  0.000
Li  0.750  0.750  0.000
Ca  0.171  0.734  0.905
Ca  0.329  0.234  0.563
Ca  0.671  0.766  0.437
Ca  0.829  0.266  0.095
Ag  0.250  0.750  0.500
Ag  0.750  0.250  0.500
Au  0.124  0.229  0.353
Au  0.376  0.729  0.105
Au  0.624  0.271  0.895
Au  0.876  0.771  0.647

---

[9]
A plane-wave DFT calculation with GGA-PBE was carried out for a relaxed structure of CaAlPdPt.

Values from the calculation:
- Theoretical density: 8.7 g cm⁻³
- Crystal system: cubic
- E: -19.93 eV for the cell shown
- Energy relative to the elements: -2.96 eV per formula unit
- SG: F-43m, No. 216
- DOS at the Fermi energy: 2.10 states/eV/cell

a b c (Å): 4.641 4.641 4.641
angles (deg): 60.00 60.00 60.00
Fractional positions:
Ca  0.000  0.000  0.000
Al  0.500  0.500  0.500
Pd  0.750  0.750  0.750
Pt  0.250  0.250  0.250

---

[10]
A plane-wave DFT calculation with GGA-PBE was carried out for a relaxed structure of KHfZrBe2.

Values from the calculation:
- Theoretical density: 5.0 g cm⁻³
- Crystal system: tetragonal
- E: -18.02 eV for the cell shown
- Energy relative to the elements: 9.03 eV per formula unit
- SG: P4/mmm, No. 123
- DOS at the Fermi energy: 5.34 states/eV/cell

a b c (Å): 4.741 4.741 4.849
angles (deg): 90.00 90.00 90.00
Fractional positions:
K  0.000  0.000  0.000
Hf  0.500  0.500  0.000
Zr  0.000  0.000  0.500
Be  0.000  0.500  0.500
Be  0.500  0.000  0.500

---

[11]
A plane-wave DFT calculation with GGA-PBE was carried out for a relaxed structure of Sm2ErOs.

Values from the calculation:
- Polymorph energy (0 for the lowest one): 0.553 eV per atom
- Theoretical density: 9.4 g cm⁻³
- Crystal system: trigonal
- E: -23.79 eV for the cell shown
- Energy relative to the elements: 1.44 eV per formula unit
- SG: R-3m, No. 166
- DOS at the Fermi energy: 6.28 states/eV/cell

a b c (Å): 11.048 11.048 11.048
angles (deg): 18.32 18.32 18.32
Fractional positions:
Sm  0.105  0.105  0.105
Sm  0.895  0.895  0.895
Er  0.000  0.000  0.000
Os  0.500  0.500  0.500

---

[12]
A plane-wave DFT calculation with GGA-PBE was carried out for a relaxed structure of Tm5PuPb6.

Values from the calculation:
- Theoretical density: 11.3 g cm⁻³
- Crystal system: monoclinic
- E: -62.71 eV for the cell shown
- Energy relative to the elements: -3.77 eV per formula unit
- SG: C2/m, No. 12
- DOS at the Fermi energy: 17.25 states/eV/cell

a b c (Å): 8.912 8.912 6.058
angles (deg): 104.63 104.63 122.75
Fractional positions:
Tm  0.000  0.000  0.000
Tm  0.168  0.832  0.500
Tm  0.338  0.662  0.000
Tm  0.662  0.338  0.000
Tm  0.832  0.168  0.500
Pu  0.500  0.500  0.500
Pb  0.074  0.414  0.243
Pb  0.242  0.242  0.745
Pb  0.414  0.074  0.243
Pb  0.586  0.926  0.757
Pb  0.758  0.758  0.255
Pb  0.926  0.586  0.757

---

Q: The highest theoretical density belongs to which entry?
A: Ce5Ir2Pt

---

Q: The lowest theoretical density belongs to which entry?
A: Na3Ga2Ag3

---

Q: What is the E in the second record?
A: -21.36 eV for the cell shown

---

What did the seventh record say?
A plane-wave DFT calculation with GGA-PBE was carried out for a relaxed structure of Ba2HoReN4.

Values from the calculation:
- Theoretical density: 6.0 g cm⁻³
- Crystal system: orthorhombic
- E: -114.70 eV for the cell shown
- Formation energy without anion corrections: -0.397 eV per atom
- SG: Fddd, No. 70
- DOS at the Fermi energy: 9.60 states/eV/cell

a b c (Å): 12.162 10.946 6.743
angles (deg): 83.24 63.36 33.41
Fractional positions:
Ba  0.058  0.058  0.692
Ba  0.308  0.308  0.942
Ba  0.692  0.692  0.058
Ba  0.942  0.942  0.308
Ho  0.125  0.125  0.125
Ho  0.875  0.875  0.875
Re  0.375  0.375  0.375
Re  0.625  0.625  0.625
N  0.039  0.623  0.528
N  0.309  0.528  0.623
N  0.377  0.961  0.691
N  0.472  0.691  0.961
N  0.528  0.309  0.039
N  0.623  0.039  0.309
N  0.691  0.472  0.377
N  0.961  0.377  0.472